(1)
{
  "formula": "Ac5Ir2Rh",
  "functional": "PBE",
  "state": "relaxed",
  "formation_energy_ev_per_atom": -0.550,
  "lattice_angstrom": [[-1.5655, 5.7396, 0.0296], [-4.3458, -4.2456, -4.4642], [-9.0375, -2.5227, 11.1971]],
  "species": ["Ac", "Ac", "Ac", "Ac", "Ac", "Ac", "Ac", "Ac", "Ac", "Ac", "Ir", "Ir", "Ir", "Ir", "Rh", "Rh"],
  "frac_coords": [[0.3292, 0.6584, 0.4346], [0.3292, 0.6584, 0.0654], [0.0521, 0.1041, 0.3814], [0.0521, 0.1041, 0.1186], [0.2510, 0.5021, 0.7500], [0.7490, 0.4979, 0.2500], [0.9479, 0.8959, 0.8814], [0.9479, 0.8959, 0.6186], [0.6708, 0.3416, 0.5654], [0.6708, 0.3416, 0.9346], [0.1484, 0.2968, 0.9396], [0.1484, 0.2968, 0.5604], [0.8516, 0.7032, 0.4396], [0.8516, 0.7032, 0.0604], [0.2102, 0.4204, 0.2500], [0.7898, 0.5796, 0.7500]]
}

---

(2)
{
  "formula": "LuThBi",
  "functional": "PBE",
  "state": "relaxed",
  "polymorph_energy_ev_per_fu": 0.00,
  "formation_energy_ev_per_atom": -0.330,
  "lattice_angstrom": [[-2.8488, -1.8933, 2.0837], [2.5223, -0.3995, 3.0855], [-1.6232, 6.1553, -0.4757]],
  "species": ["Lu", "Bi", "Th"],
  "frac_coords": [[0.9649, 0.9649, 0.9298], [0.6070, 0.6070, 0.2141], [0.2781, 0.2781, 0.5561]]
}

---

(3)
{
  "formula": "Cr5AgS8",
  "functional": "PBE",
  "state": "relaxed",
  "energy_ev_per_atom": -6.616,
  "lattice_angstrom": [[6.9476, 0.0000, 0.0000], [0.0000, 6.0309, -0.0784], [0.0000, 1.7587, 12.3840]],
  "species": ["Cr", "Cr", "Cr", "Cr", "Cr", "Cr", "Cr", "Cr", "Cr", "Cr", "Ag", "Ag", "S", "S", "S", "S", "S", "S", "S", "S", "S", "S", "S", "S", "S", "S", "S", "S"],
  "frac_coords": [[0.7500, 0.0492, 0.7797], [0.5000, 0.5000, 0.0000], [0.5022, 0.5762, 0.7604], [0.2500, 0.0507, 0.7778], [0.0000, 0.5000, 0.0000], [0.9978, 0.5762, 0.7604], [0.4978, 0.4238, 0.2396], [0.2500, 0.9508, 0.2203], [0.0022, 0.4238, 0.2396], [0.7500, 0.9493, 0.2222], [0.7500, 0.1499, 0.5304], [0.2500, 0.8501, 0.4696], [0.7500, 0.2357, 0.3352], [0.7500, 0.3713, 0.8856], [0.5009, 0.7498, 0.3251], [0.4991, 0.8521, 0.8838], [0.2500, 0.2371, 0.3373], [0.5009, 0.1479, 0.1162], [0.2500, 0.3706, 0.8847], [0.4991, 0.2502, 0.6749], [0.9991, 0.7498, 0.3251], [0.2500, 0.6287, 0.1144], [0.0009, 0.8521, 0.8838], [0.2500, 0.7643, 0.6648], [0.9991, 0.1479, 0.1162], [0.0009, 0.2502, 0.6749], [0.7500, 0.6294, 0.1153], [0.7500, 0.7629, 0.6627]]
}

---

Number 1: magnetic moment 0.00 μB per cell. Number 2: magnetic moment 0.00 μB per cell. Number 3: magnetic moment 29.88 μB per cell.